Entry 1:
Cd2AsW PBE optimized geometry; volume = 19.1 Å³ per atom; space-group type = No. 6; crystal system = monoclinic; DOS(E_F) = 0.36 states/eV/atom; uncorrected energy = -4.43 eV/atom; E_form = 0.43 eV/atom; mass density = 10.54 g/cm³
1.0
-4.642 0.403 0.681
-0.474 -0.971 -2.654
-0.404 -5.769 0.659
Cd As W
2 1 1
Cartesian
-0.849 -6.664 -1.844 Cd
-2.572 -1.608 -0.297 Cd
-2.885 -4.519 -0.712 As
-0.531 -3.655 -1.454 W

Entry 2:
InSn2Pb2 PBE optimized geometry; ΔE to the lowest computed polymorph = 0.000 eV per atom; volume = 29.3 Å³ per atom; space-group type = No. 10; crystal system = monoclinic; DOS(E_F) = 0.45 states/eV/atom; uncorrected energy = -3.59 eV/atom; E_form = 0.04 eV/atom; mass density = 8.68 g/cm³
1.0
3.335 0.000 0.000
0.000 5.230 -1.559
0.000 -0.509 8.560
Pb Sn In
2 2 1
Cartesian
1.667 3.039 0.927 Pb
1.667 1.682 6.073 Pb
0.000 3.912 3.936 Sn
0.000 0.809 3.065 Sn
0.000 0.000 0.000 In

Entry 3:
Th5Co2Se2 PBE optimized geometry; volume = 24.9 Å³ per atom; raw formation energy = -750 meV per atom; space-group type = No. 64; crystal system = orthorhombic; DOS(E_F) = 0.74 states/eV/atom; uncorrected energy = -7.23 eV/atom; mass density = 10.63 g/cm³
1.0
7.831 0.000 2.843
0.000 7.098 0.000
1.327 0.000 8.552
Co Th Se
4 10 4
Cartesian
4.742 1.113 1.721 Co
0.827 2.437 0.300 Co
7.005 4.662 2.543 Co
3.089 5.986 1.121 Co
0.000 0.000 0.000 Th
3.916 3.549 1.421 Th
4.642 6.062 3.687 Th
1.905 1.036 2.693 Th
4.516 1.036 7.707 Th
5.820 2.513 4.115 Th
7.254 6.062 8.701 Th
8.432 2.513 9.128 Th
3.338 4.585 7.279 Th
0.727 4.585 2.266 Th
2.374 0.000 5.668 Se
6.784 0.000 5.727 Se
6.290 3.549 7.089 Se
2.869 3.549 4.305 Se

Which value of mass density does entry 3 give? 10.63 g/cm³